Sc4RhCl | PBE | optimized geometry

The total magnetization is 0.213 μB/f.u. For the total energy, the calculation gives -5.38 eV per atom. The value obtained for the uncorrected formation energy is 0.3780 eV/atom. Its density of states at the Fermi level is 9.71 states/eV/f.u.

It has space group F-43m (No. 216), with a = 8.089 Å, b = 8.089 Å, c = 8.089 Å, α = 90.00°, β = 90.00° and γ = 90.00°. Symmetry generates all atoms from Sc at (0.123, 0.123, 0.377), Rh at (0.250, 0.250, 0.750) and Cl at (0.000, 0.000, 0.000).



LaTaBr | PBE | optimized geometry

The excess energy over the best structure of this formula in the dataset comes out at 0.057 eV per atom. The total magnetization is 0.000 μB/f.u. For the total energy, the calculation gives -6.01 eV per atom. The value obtained for the uncorrected formation energy is 0.1453 eV/atom. Its density of states at the Fermi level is 2.40 states/eV/f.u.

It has space group I4mm (No. 107), with a = 3.274 Å, b = 3.274 Å, c = 13.575 Å, α = 90.00°, β = 90.00° and γ = 90.00°. Symmetry generates all atoms from La at (0.000, 0.000, 0.000), Ta at (0.000, 0.000, 0.327) and Br at (0.000, 0.000, 0.694).



Y2Cu15Rh2 | PBE | optimized geometry

The value obtained for the energy relative to the elements is -0.16 eV/atom. The total magnetization is 0.000 μB/f.u. For the total energy, the calculation gives -4.84 eV per atom. Its density of states at the Fermi level is 11.19 states/eV/f.u.

It has space group R-3m (No. 166, hexagonal axes), with a = 8.6198 Å, b = 8.6198 Å, c = 12.4412 Å, α = 90.00°, β = 90.00° and γ = 120.00°. Symmetry generates all atoms from Y at (0.0000, 0.0000, 0.1658), Cu at (0.0000, 0.2929, 0.5000), Cu at (0.0000, 0.5000, 0.0000), Cu at (0.0033, 0.5016, 0.6500) and Rh at (0.0000, 0.0000, 0.3948).



ScReCl4 | PBE | optimized geometry

The total magnetization is 6.053 μB/f.u. For the total energy, the calculation gives -3.43 eV per atom. The value obtained for the uncorrected formation energy is 0.9346 eV/atom. Its density of states at the Fermi level is 6.89 states/eV/f.u.

It has space group F-43m (No. 216), with a = 8.169 Å, b = 8.169 Å, c = 8.169 Å, α = 90.00°, β = 90.00° and γ = 90.00°. Symmetry generates all atoms from Sc at (0.000, 0.000, 0.000), Re at (0.250, 0.250, 0.250) and Cl at (0.125, 0.125, 0.625).



Zn3GeN | PBE | optimized geometry

The excess energy over the best structure of this formula in the dataset comes out at 0.000 eV per atom. The total magnetization is 0.000 μB/f.u. For the total energy, the calculation gives -2.94 eV per atom. The value obtained for the uncorrected formation energy is 0.4166 eV/atom. Its density of states at the Fermi level is 3.02 states/eV/f.u.

It has space group Pm-3m (No. 221), with a = 4.197 Å, b = 4.197 Å, c = 4.197 Å, α = 90.00°, β = 90.00° and γ = 90.00°. Symmetry generates all atoms from Zn at (0.000, 0.000, 0.500), Ge at (0.500, 0.500, 0.500) and N at (0.000, 0.000, 0.000).



BaCdSb2Pb | PBE | optimized geometry

The total magnetization is 0.000 μB/f.u. For the total energy, the calculation gives -3.34 eV per atom. The value obtained for the uncorrected formation energy is -0.3855 eV/atom. Its density of states at the Fermi level is 0.26 states/eV/f.u.

It has space group C2/m (No. 12), with a = 13.223 Å, b = 4.825 Å, c = 11.795 Å, α = 90.00°, β = 99.56° and γ = 90.00°. Symmetry generates all atoms from Ba at (0.160, 0.000, 0.169), Cd at (0.049, 0.500, 0.772), Sb at (0.137, 0.000, 0.868), Sb at (0.137, 0.500, 0.392) and Pb at (0.126, 0.000, 0.560).



TbMg4Ga2 | PBE | optimized geometry

The value obtained for the energy relative to the elements is -0.26 eV/atom. The excess energy over the best structure of this formula in the dataset comes out at 0.000 eV per atom. The total magnetization is 0.000 μB/f.u. For the total energy, the calculation gives -2.69 eV per atom. Its density of states at the Fermi level is 3.19 states/eV/f.u.

It has space group Cmmm (No. 65), with a = 4.350 Å, b = 16.373 Å, c = 4.307 Å, α = 90.00°, β = 90.00° and γ = 90.00°. Symmetry generates all atoms from Tb at (0.000, 0.000, 0.000), Mg at (0.000, 0.177, 0.500), Mg at (0.000, 0.321, 0.000) and Ga at (0.000, 0.426, 0.500).



Er2Zn2Tc2C | PBE | optimized geometry

The value obtained for the energy relative to the elements is -0.28 eV/atom. The total magnetization is 0.000 μB/f.u. For the total energy, the calculation gives -6.22 eV per atom. Its density of states at the Fermi level is 2.55 states/eV/f.u.

It has space group C2/m (No. 12), with a = 10.930 Å, b = 3.400 Å, c = 6.722 Å, α = 90.00°, β = 107.47° and γ = 90.00°. Symmetry generates all atoms from Er at (0.007, 0.000, 0.256), Zn at (0.191, 0.500, 0.603), Tc at (0.189, 0.500, 0.084) and C at (0.000, 0.500, 0.000).



Q: Which value of total magnetization does entry 5 give?
A: 0.000 μB/f.u.



Q: Among the records above, which one has the highest total magnetization?
A: ScReCl4